# PBE+U InNiGeO4, optimized geometry
data_InNiGeO4
_symmetry_space_group_name_H-M 'I m m a'
_symmetry_Int_Tables_number 74
_symmetry_space_group_name_Hall '-I 2b 2'
_cell_length_a 6.098
_cell_length_b 6.395
_cell_length_c 8.708
_cell_angle_alpha 90.00
_cell_angle_beta 90.00
_cell_angle_gamma 90.00
loop_
_atom_site_label
_atom_site_fract_x
_atom_site_fract_y
_atom_site_fract_z
_atom_site_occupancy
In1 0.000 0.000 0.000 1
Ni1 0.250 0.250 0.250 1
Ge1 0.000 0.250 0.633 1
O1 0.000 0.017 0.250 1
O2 0.248 0.250 0.496 1
# ρ = 6.07 Mg/m³
# Magnetic moment = 6.23 μB per cell
# Uncorrected energy = -5.511 eV per atom